--- a ---
The following is a DFT calculation (GGA-PBE) of a relaxed CaLaIn crystal.

Values from the calculation:
Total magnetic moment   0.00 μB per formula unit
V   200.3 Å³/cell

abc: 9.2951 9.2951 5.8708
angles: 95.95 95.95 23.40
With the nearest neighbours (Å) after each atom.
Fractional coordinates of all 6 atoms:
Ca  0.2175  0.2175  0.2352  2 In 3.29, 2 Ca 3.64
Ca  0.7825  0.7825  0.7648  2 In 3.29, 2 Ca 3.64
La  0.0782  0.0782  0.6884  3 La 3.42-3.77, 6 In 3.42-3.52
La  0.9218  0.9218  0.3116  3 La 3.42-3.77, 6 In 3.42-3.52
In  0.4316  0.4316  0.8199  1 In 3.09, 2 Ca 3.29, 2 La 3.42
In  0.5684  0.5684  0.1801  1 In 3.09, 2 Ca 3.29, 2 La 3.42



--- b ---
The following is a DFT calculation (GGA-PBE) of a relaxed CaLaIn crystal.

Values from the calculation:
Total magnetic moment   0.00 μB per formula unit
V   194.5 Å³/cell

abc: 5.5727 5.5727 7.2301
angles: 90.00 90.00 120.00
With the nearest neighbours (Å) after each atom.
Fractional coordinates of all 6 atoms:
Ca  0.0000  0.0000  0.0000  4 In 3.23-3.60, 3 Ca 3.61
Ca  0.3333  0.6667  0.2263  5 La 3.56-3.67, 3 Ca 3.61, 6 In 3.75-3.77
La  0.3333  0.6667  0.7338  5 Ca 3.56-3.75, 6 In 3.61-3.64, 3 La 3.86
La  0.6667  0.3333  0.4394  4 In 3.25-3.47, 3 Ca 3.57
In  0.0000  0.0000  0.4983  3 La 3.25, 2 Ca 3.60-3.63
In  0.6667  0.3333  0.9601  3 Ca 3.23, 4 La 3.47-3.61



Question: which arrangement is favored energetically? Ranking from most to least stable: b, a.



--- a ---
The following is a DFT calculation (GGA-PBE) of a relaxed PIr2Pb crystal.

Values from the calculation:
Total magnetic moment   0.00 μB per formula unit
V   67.6 Å³/cell

abc: 4.5719 4.5719 4.5719
angles: 60.00 60.00 60.00
With the nearest neighbours (Å) after each atom.
Fractional coordinates of all 4 atoms:
P  0.0000  0.0000  0.0000  8 Ir 2.80
Ir  0.2500  0.2500  0.2500  4 Pb 2.80, 4 P 2.80
Ir  0.7500  0.7500  0.7500  4 Pb 2.80, 4 P 2.80
Pb  0.5000  0.5000  0.5000  8 Ir 2.80



--- b ---
The following is a DFT calculation (GGA-PBE) of a relaxed PIr2Pb crystal.

Values from the calculation:
Total magnetic moment   0.00 μB per formula unit
V   69.5 Å³/cell

abc: 5.4371 5.4371 3.0102
angles: 105.77 105.77 115.12
With the nearest neighbours (Å) after each atom.
Fractional coordinates of all 4 atoms:
P  0.0000  0.0000  0.0000  4 Ir 2.72, 4 Pb 2.92-2.94, 2 P 3.01
Ir  0.0000  0.5000  0.0000  2 Pb 2.72, 2 P 2.72, 6 Ir 2.92-3.01
Ir  0.5000  0.0000  0.0000  2 Pb 2.72, 2 P 2.72, 6 Ir 2.92-3.01
Pb  0.5000  0.5000  0.0000  4 Ir 2.72, 4 P 2.92-2.94, 2 Pb 3.01



Question: which arrangement is favored energetically? Ranking from most to least stable: a, b.



--- a ---
The following is a DFT calculation (GGA-PBE) of a relaxed Na2CrCl crystal.

Values from the calculation:
Total magnetic moment   4.77 μB per formula unit
V   104.4 Å³/cell

abc: 3.5365 3.5365 9.6189
angles: 95.49 95.49 60.88
With the nearest neighbours (Å) after each atom.
Fractional coordinates of all 4 atoms:
Na  0.0000  0.0000  0.0000  3 Cl 2.82-2.83
Na  0.5528  0.5528  0.3370  3 Cr 3.31-3.32, 8 Na 3.54-3.69
Cr  0.9386  0.9386  0.6086  3 Cl 2.69-2.75
Cl  0.3002  0.3002  0.7969  3 Cr 2.69-2.75, 3 Na 2.82-2.83



--- b ---
The following is a DFT calculation (GGA-PBE) of a relaxed Na2CrCl crystal.

Values from the calculation:
Total magnetic moment   4.80 μB per formula unit
V   100.3 Å³/cell

abc: 6.5590 6.5590 6.5590
angles: 150.55 133.34 56.15
With the nearest neighbours (Å) after each atom.
Fractional coordinates of all 4 atoms:
Na  0.0000  0.0000  0.0000  4 Cl 3.11, 4 Na 3.33-3.36
Na  0.6841  0.1841  0.5000  2 Cl 2.98, 4 Cr 3.31, 2 Na 3.33
Cr  0.2866  0.7866  0.5000  2 Cl 2.70
Cl  0.4704  0.4704  0.0000  2 Cr 2.70, 2 Na 2.98



Question: which arrangement is favored energetically? Ranking from most to least stable: b, a.



--- a ---
The following is a DFT calculation (GGA-PBE) of a relaxed CrCo4W crystal.

Values from the calculation:
Total magnetic moment   3.31 μB per formula unit
V   141.4 Å³/cell

abc: 6.1573 6.1573 6.1573
angles: 139.63 101.12 92.59
With the nearest neighbours (Å) after each atom.
Fractional coordinates of all 12 atoms:
Cr  0.3765  0.1265  0.2500  10 Co 2.41-2.62
Cr  0.6235  0.8735  0.7500  10 Co 2.41-2.62
Co  0.0316  0.1163  0.9153  5 Co 2.38-2.59, 2 Cr 2.44-2.62, 3 W 2.49-2.57
Co  0.2195  0.6340  0.5855  3 Cr 2.41-2.48, 5 Co 2.51-2.64, 2 W 2.54-2.63
Co  0.2991  0.8837  0.4153  5 Co 2.38-2.59, 2 Cr 2.44-2.62, 3 W 2.49-2.57
Co  0.4515  0.3660  0.0855  3 Cr 2.41-2.48, 5 Co 2.51-2.64, 2 W 2.54-2.63
Co  0.5485  0.6340  0.9145  3 Cr 2.41-2.48, 5 Co 2.51-2.64, 2 W 2.54-2.63
Co  0.7009  0.1163  0.5847  5 Co 2.38-2.59, 2 Cr 2.44-2.62, 3 W 2.49-2.57
Co  0.7805  0.3660  0.4145  3 Cr 2.41-2.48, 5 Co 2.51-2.64, 2 W 2.54-2.63
Co  0.9684  0.8837  0.0847  5 Co 2.38-2.59, 2 Cr 2.44-2.62, 3 W 2.49-2.57
W  0.1272  0.3772  0.7500  10 Co 2.49-2.63
W  0.8728  0.6228  0.2500  10 Co 2.49-2.63



--- b ---
The following is a DFT calculation (GGA-PBE) of a relaxed CrCo4W crystal.

Values from the calculation:
Total magnetic moment   4.74 μB per formula unit
V   70.4 Å³/cell

abc: 4.6342 4.6342 4.6342
angles: 60.00 60.00 60.00
With the nearest neighbours (Å) after each atom.
Fractional coordinates of all 6 atoms:
Cr  0.0000  0.0000  0.0000  12 Co 2.72, 4 W 2.84
Co  0.1225  0.6258  0.6258  6 Co 2.30-2.33
Co  0.6258  0.1225  0.6258  6 Co 2.30-2.33
Co  0.6258  0.6258  0.1225  6 Co 2.30-2.33
Co  0.6258  0.6258  0.6258  6 Co 2.30-2.33
W  0.2500  0.2500  0.2500  12 Co 2.72, 4 Cr 2.84



Question: which arrangement is favored energetically? Ranking from most to least stable: b, a.



--- a ---
The following is a DFT calculation (GGA-PBE) of a relaxed Y3ZnH crystal.

Values from the calculation:
Total magnetic moment   0.00 μB per formula unit
V   228.3 Å³/cell

abc: 8.1010 8.1010 3.6750
angles: 90.00 90.00 108.82
With the nearest neighbours (Å) after each atom.
Fractional coordinates of all 10 atoms:
Y  0.1832  0.8168  0.0000  2 H 2.52
Y  0.1881  0.4463  0.5000  2 H 2.51
Y  0.4463  0.1881  0.5000  2 H 2.51
Y  0.5537  0.8119  0.5000  2 H 2.51
Y  0.8119  0.5537  0.5000  2 H 2.51
Y  0.8168  0.1832  0.0000  2 H 2.52
Zn  0.0000  0.0000  0.5000  4 Y 3.03
Zn  0.5000  0.5000  0.0000  8 Y 3.04
H  0.0000  0.5000  0.0000  6 Y 2.51-2.52
H  0.5000  0.0000  0.0000  6 Y 2.51-2.52



--- b ---
The following is a DFT calculation (GGA-PBE) of a relaxed Y3ZnH crystal.

Values from the calculation:
Total magnetic moment   1.89 μB per formula unit
V   109.8 Å³/cell

abc: 4.7888 4.7888 4.7888
angles: 90.00 90.00 90.00
With the nearest neighbours (Å) after each atom.
Fractional coordinates of all 5 atoms:
Y  0.0000  0.0000  0.5000  2 H 2.39
Y  0.0000  0.5000  0.0000  2 H 2.39
Y  0.5000  0.0000  0.0000  2 H 2.39
Zn  0.5000  0.5000  0.5000  12 Y 3.39
H  0.0000  0.0000  0.0000  6 Y 2.39



Question: which arrangement is favored energetically? Ranking from most to least stable: a, b.



--- a ---
The following is a DFT calculation (GGA-PBE) of a relaxed InOs2Se crystal.

Values from the calculation:
Total magnetic moment   0.00 μB per formula unit
V   74.1 Å³/cell

abc: 5.3592 5.3592 5.8262
angles: 121.71 121.71 31.94
With the nearest neighbours (Å) after each atom.
Fractional coordinates of all 4 atoms:
In  0.0000  0.0000  0.0000  5 Os 2.85-2.92, 2 In 2.95, 1 Se 3.15
Os  0.4445  0.4445  0.3710  2 Se 2.48, 2 Os 2.62
Os  0.7565  0.7565  0.4344  2 Se 2.55, 2 Os 2.62, 1 In 2.85
Se  0.1668  0.1668  0.6798  4 Os 2.48-2.55



--- b ---
The following is a DFT calculation (GGA-PBE) of a relaxed InOs2Se crystal.

Values from the calculation:
Total magnetic moment   0.00 μB per formula unit
V   68.1 Å³/cell

abc: 5.5128 5.5128 2.9021
angles: 105.10 105.10 116.99
With the nearest neighbours (Å) after each atom.
Fractional coordinates of all 4 atoms:
In  0.0000  0.0000  0.0000  4 Os 2.76, 4 Se 2.88-2.90, 2 In 2.90
Os  0.0000  0.5000  0.5000  2 In 2.76, 2 Se 2.76, 6 Os 2.88-2.90
Os  0.5000  0.0000  0.5000  2 In 2.76, 2 Se 2.76, 6 Os 2.88-2.90
Se  0.5000  0.5000  0.0000  4 Os 2.76, 4 In 2.88-2.90, 2 Se 2.90



Question: which arrangement is favored energetically? Ranking from most to least stable: a, b.



--- a ---
The following is a DFT calculation (GGA-PBE) of a relaxed NdYAu crystal.

Values from the calculation:
Total magnetic moment   0.00 μB per formula unit
V   84.3 Å³/cell

abc: 4.9508 4.9508 3.9734
angles: 90.00 90.00 120.00
With the nearest neighbours (Å) after each atom.
Fractional coordinates of all 3 atoms:
Nd  0.0000  0.0000  0.0000  3 Au 3.14, 3 Y 3.41
Y  0.3333  0.6667  0.4689  3 Au 2.97
Au  0.6667  0.3333  0.6746  3 Y 2.97, 3 Nd 3.14



--- b ---
The following is a DFT calculation (GGA-PBE) of a relaxed NdYAu crystal.

Values from the calculation:
Total magnetic moment   0.00 μB per formula unit
V   255.2 Å³/cell

abc: 4.9753 7.4558 7.4558
angles: 112.65 90.00 90.00
With the nearest neighbours (Å) after each atom.
Fractional coordinates of all 9 atoms:
Nd  0.0000  0.0000  0.0000  5 Au 3.15-3.21
Nd  0.0000  0.4021  0.7973  3 Au 3.05-3.35
Nd  0.0000  0.7973  0.4021  3 Au 3.05-3.35
Y  0.5000  0.1505  0.4252  4 Au 2.83-3.11
Y  0.5000  0.4252  0.1505  4 Au 2.83-3.11
Y  0.5000  0.6775  0.6775  2 Au 2.91
Au  0.0000  0.3809  0.3809  3 Nd 3.05-3.15, 4 Y 3.11
Au  0.5000  0.0959  0.7802  3 Y 2.83-2.91
Au  0.5000  0.7802  0.0959  3 Y 2.83-2.91



Question: which arrangement is favored energetically? Ranking from most to least stable: b, a.



--- a ---
The following is a DFT calculation (GGA-PBE) of a relaxed B5C crystal.

Values from the calculation:
Total magnetic moment   0.00 μB per formula unit
V   100.9 Å³/cell

abc: 4.1689 4.0984 6.4831
angles: 90.00 114.36 90.00
With the nearest neighbours (Å) after each atom.
Fractional coordinates of all 12 atoms:
B  0.0000  0.1628  0.2500  4 B 1.68-1.69
B  0.0000  0.8372  0.7500  4 B 1.68-1.69
B  0.1551  0.4668  0.1414  1 C 1.54, 1 B 1.69
B  0.1551  0.5332  0.6414  1 C 1.54, 1 B 1.69
B  0.3729  0.0564  0.8586  1 C 1.56, 1 B 1.68
B  0.3729  0.9436  0.3586  1 C 1.56, 1 B 1.68
B  0.6271  0.0564  0.6414  1 C 1.56, 1 B 1.68
B  0.6271  0.9436  0.1414  1 C 1.56, 1 B 1.68
B  0.8449  0.4668  0.3586  1 C 1.54, 1 B 1.69
B  0.8449  0.5332  0.8586  1 C 1.54, 1 B 1.69
C  0.5000  0.3394  0.7500  4 B 1.54-1.56
C  0.5000  0.6606  0.2500  4 B 1.54-1.56



--- b ---
The following is a DFT calculation (GGA-PBE) of a relaxed B5C crystal.

Values from the calculation:
Total magnetic moment   0.00 μB per formula unit
V   82.7 Å³/cell

abc: 5.7904 5.7904 6.2236
angles: 122.36 122.36 28.39
With the nearest neighbours (Å) after each atom.
Fractional coordinates of all 12 atoms:
B  0.0543  0.0543  0.2379  2 C 1.61, 1 B 1.79
B  0.1262  0.1262  0.0376  7 B 1.69-1.84
B  0.3120  0.3120  0.7859  4 B 1.69-1.87, 1 C 1.79
B  0.3157  0.3157  0.3032  1 C 1.63, 1 B 1.72
B  0.4183  0.4183  0.1752  1 C 1.72, 3 B 1.72-1.81
B  0.5817  0.5817  0.8248  1 C 1.72, 3 B 1.72-1.81
B  0.6843  0.6843  0.6968  1 C 1.63, 1 B 1.72
B  0.6880  0.6880  0.2141  4 B 1.69-1.87, 1 C 1.79
B  0.8738  0.8738  0.9624  7 B 1.69-1.84
B  0.9457  0.9457  0.7621  2 C 1.61, 1 B 1.79
C  0.3987  0.3987  0.6156  5 B 1.61-1.79
C  0.6013  0.6013  0.3844  5 B 1.61-1.79



Question: which arrangement is favored energetically? Ranking from most to least stable: b, a.



--- a ---
The following is a DFT calculation (GGA-PBE) of a relaxed TaAl2Ag crystal.

Values from the calculation:
Total magnetic moment   0.00 μB per formula unit
V   68.4 Å³/cell

abc: 9.4351 9.4351 9.4351
angles: 17.79 17.79 17.79
With the nearest neighbours (Å) after each atom.
Fractional coordinates of all 4 atoms:
Ta  0.0000  0.0000  0.0000  3 Al 2.86, 6 Ta 2.92, 3 Ag 3.01
Al  0.2505  0.2505  0.2505  9 Al 2.82-2.92, 3 Ta 2.86
Al  0.5028  0.5028  0.5028  3 Ag 2.79, 9 Al 2.82-2.92
Ag  0.7563  0.7563  0.7563  3 Al 2.79, 6 Ag 2.92, 3 Ta 3.01



--- b ---
The following is a DFT calculation (GGA-PBE) of a relaxed TaAl2Ag crystal.

Values from the calculation:
Total magnetic moment   0.00 μB per formula unit
V   66.9 Å³/cell

abc: 2.8686 2.8686 8.1267
angles: 90.00 90.00 90.00
With the nearest neighbours (Å) after each atom.
Fractional coordinates of all 4 atoms:
Ta  0.0000  0.0000  0.0000  8 Al 2.86, 4 Ta 2.87
Al  0.5000  0.5000  0.2485  4 Ta 2.86, 4 Al 2.87, 4 Ag 2.88
Al  0.5000  0.5000  0.7515  4 Ta 2.86, 4 Al 2.87, 4 Ag 2.88
Ag  0.0000  0.0000  0.5000  4 Ag 2.87, 8 Al 2.88



Question: which arrangement is favored energetically? Ranking from most to least stable: b, a.